(1)
Compound: Na3Er3NpSe8
Source: the Alexandria database
Functional: GGA-PBE
Structure: relaxed

Cell lengths 8.2293, 8.2293, 21.1207 Å; angles 90.00, 90.00, 120.00 degrees
Last column: nearest neighbours and their distance in Å.
Space group R-3m (No. 166, hexagonal axes)
One atom of each set of equivalent atoms:
1 Na 0.0000 0.5000 0.0000 x9  6 Se 3.05-3.07
2 Er 0.0000 0.5000 0.5000 x9  6 Se 2.85-2.87
3 Np 0.0000 0.0000 0.5000 x3  6 Se 2.85
4 Se 0.0000 0.0000 0.2425 x6  3 Er 2.87, 3 Na 3.05
5 Se 0.0006 0.5003 0.2413 x18  1 Np 2.85, 2 Er 2.85, 2 Na 3.07

Summary:
- Uncorrected formation energy: -1.563 eV per atom
- Crystal system: trigonal
- DOS(E_F): 0.249 states/eV per atom
- Raw total energy: -5.460 eV/atom
- Magnetic moment: 9.00 μB per cell

(2)
Compound: NaErNp2Se4
Source: the Alexandria database
Functional: GGA-PBE
Structure: relaxed

Cell lengths 7.1325, 4.1009, 7.1364 Å; angles 90.00, 109.19, 90.00 degrees
Last column: nearest neighbours and their distance in Å.
Space group P2/m (No. 10)
One atom of each set of equivalent atoms:
1 Na 0.0000 0.0000 0.0000 x1  6 Se 2.90-2.92
2 Er 0.0000 0.5000 0.5000 x1  6 Se 2.87-2.88
3 Np 0.5000 0.0000 0.5000 x1  6 Se 2.90-2.91
4 Np 0.5000 0.5000 0.0000 x1  6 Se 2.94
5 Se 0.2445 0.0000 0.7455 x2  2 Er 2.88, 1 Na 2.90, 3 Np 2.91-2.94
6 Se 0.2492 0.5000 0.2549 x2  1 Er 2.87, 3 Np 2.90-2.94, 2 Na 2.92

Summary:
- Uncorrected formation energy: -1.305 eV per atom
- Crystal system: monoclinic
- DOS(E_F): 2.470 states/eV per atom
- Raw total energy: -7.018 eV/atom
- Magnetic moment: 9.14 μB per cell

(3)
Compound: Na2ErNpTe4
Source: the Alexandria database
Functional: GGA-PBE
Structure: relaxed

Cell lengths 7.7064, 4.4409, 7.9761 Å; angles 90.00, 108.75, 90.00 degrees
Last column: nearest neighbours and their distance in Å.
Space group P2/m (No. 10)
One atom of each set of equivalent atoms:
1 Na 0.0000 0.0000 0.0000 x1  6 Te 3.23-3.24
2 Na 0.5000 0.5000 0.0000 x1  6 Te 3.28-3.29
3 Er 0.0000 0.5000 0.5000 x1  6 Te 3.08-3.09
4 Np 0.5000 0.0000 0.5000 x1  6 Te 3.13-3.14
5 Te 0.2385 0.0000 0.7322 x2  2 Er 3.09, 1 Np 3.14, 3 Na 3.23-3.28
6 Te 0.2501 0.5000 0.2661 x2  1 Er 3.08, 2 Np 3.13, 3 Na 3.24-3.29

Summary:
- Uncorrected formation energy: -1.047 eV per atom
- Crystal system: monoclinic
- DOS(E_F): 0.982 states/eV per atom
- Raw total energy: -5.135 eV/atom
- Magnetic moment: 4.00 μB per cell